A plane-wave DFT calculation with PBE was carried out for crystalline CsNpSnBr6 at its relaxed geometry.

The calculation puts the size of the total moment at 4.00 μB per formula unit. As for the total energy: -4.30 eV per atom. Its density of states at the Fermi level is 6.97 states/eV/f.u.

The structure belongs to space group Imma (No. 74); the cell edges are 10.489, 10.854 and 15.187 Å and the angles 90.00°, 90.00° and 90.00°. The asymmetric unit holds Cs at (0.000, 0.250, 0.075), Np at (0.000, 0.000, 0.500), Sn at (0.250, 0.250, 0.750), Br at (0.000, 0.250, 0.433), Br at (0.000, 0.250, 0.838) and Br at (0.205, 0.040, 0.623).